Model i:
The following is a PBE-GGA calculation of a relaxed structure of NaRh2Au2, from Alexandria.

a b c (Å): 7.3371 7.3371 7.3371
angles (deg): 150.54 150.54 42.15
Positions (direct):
Na 0.0000 0.0000 0.0000
Rh 0.2500 0.7500 0.5000
Rh 0.7500 0.2500 0.5000
Au 0.4013 0.4013 0.0000
Au 0.5987 0.5987 0.0000



Model ii:
The following is a PBE-GGA calculation of a relaxed structure of NaRh2Au2, from Alexandria.

a b c (Å): 8.0832 8.0832 2.7717
angles (deg): 90.00 90.00 90.00
Positions (direct):
Na 0.0000 0.0000 0.0000
Na 0.5000 0.5000 0.0000
Rh 0.1138 0.3862 0.0000
Rh 0.3862 0.8862 0.0000
Rh 0.6138 0.1138 0.0000
Rh 0.8862 0.6138 0.0000
Au 0.1833 0.6833 0.5000
Au 0.3167 0.1833 0.5000
Au 0.6833 0.8167 0.5000
Au 0.8167 0.3167 0.5000



Most stable: model ii (next structure +0.132 eV/atom)



Model i:
The following is a PBE-GGA calculation of a relaxed structure of Na2RhAu, from Alexandria.

a b c (Å): 10.6748 10.6748 10.6748
angles (deg): 15.51 15.51 15.51
Positions (direct):
Na 0.0854 0.0854 0.0854
Na 0.9146 0.9146 0.9146
Rh 0.0000 0.0000 0.0000
Au 0.5000 0.5000 0.5000



Model ii:
The following is a PBE-GGA calculation of a relaxed structure of Na2RhAu, from Alexandria.

a b c (Å): 4.7264 4.7264 4.7264
angles (deg): 60.00 60.00 60.00
Positions (direct):
Na 0.2500 0.2500 0.2500
Na 0.7500 0.7500 0.7500
Rh 0.0000 0.0000 0.0000
Au 0.5000 0.5000 0.5000



Model iii:
The following is a PBE-GGA calculation of a relaxed structure of Na2RhAu, from Alexandria.

a b c (Å): 6.1919 6.1919 6.1919
angles (deg): 101.04 101.04 128.09
Positions (direct):
Na 0.1240 0.6250 0.9990
Na 0.3750 0.3740 0.4990
Na 0.6260 0.1250 0.0010
Na 0.8750 0.8760 0.5010
Rh 0.0000 0.0000 0.0000
Rh 0.7500 0.2500 0.5000
Au 0.2500 0.7500 0.5000
Au 0.5000 0.5000 0.0000



Most stable: model i (next structure +0.030 eV/atom)



Model i:
The following is a PBE-GGA calculation of a relaxed structure of NaRuAu2, from Alexandria.

a b c (Å): 4.6423 4.6423 4.6423
angles (deg): 60.00 60.00 60.00
Positions (direct):
Na 0.0000 0.0000 0.0000
Ru 0.5000 0.5000 0.5000
Au 0.2500 0.2500 0.2500
Au 0.7500 0.7500 0.7500



Model ii:
The following is a PBE-GGA calculation of a relaxed structure of NaRuAu2, from Alexandria.

a b c (Å): 9.8849 9.8849 9.8849
angles (deg): 156.33 156.33 33.72
Positions (direct):
Na 0.0000 0.0000 0.0000
Na 0.7500 0.2500 0.5000
Ru 0.2500 0.7500 0.5000
Ru 0.5000 0.5000 0.0000
Au 0.1318 0.6250 0.0068
Au 0.3750 0.3818 0.5068
Au 0.6182 0.1250 0.9932
Au 0.8750 0.8682 0.4932



Most stable: model i (next structure +0.345 eV/atom)



Model i:
The following is a PBE-GGA calculation of a relaxed structure of NaRu2Au, from Alexandria.

a b c (Å): 6.0433 6.0433 6.0433
angles (deg): 99.67 99.67 131.62
Positions (direct):
Na 0.0000 0.0000 0.0000
Na 0.7500 0.2500 0.5000
Ru 0.1617 0.6250 0.0367
Ru 0.3750 0.4117 0.5367
Ru 0.5883 0.1250 0.9633
Ru 0.8750 0.8383 0.4633
Au 0.2500 0.7500 0.5000
Au 0.5000 0.5000 0.0000



Model ii:
The following is a PBE-GGA calculation of a relaxed structure of NaRu2Au, from Alexandria.

a b c (Å): 4.4848 4.4848 4.4848
angles (deg): 60.00 60.00 60.00
Positions (direct):
Na 0.0000 0.0000 0.0000
Ru 0.2500 0.2500 0.2500
Ru 0.7500 0.7500 0.7500
Au 0.5000 0.5000 0.5000



Most stable: model ii (next structure +0.117 eV/atom)